Entry 1:
Compound: PmPrSb
Source: Alexandria
Functional: PBE
Structure: relaxed

Computed properties:
As for the total magnetization: 0.00 μB/f.u. The space group is I4mm. The uncorrected energy comes out at -5.24 eV per atom.

Lattice parameters (Å, degrees): 4.184 4.184 5.900 110.77 110.77 90.00
Atoms (fractional coordinates):
Sb 0.619 0.619 0.238
Pm 0.268 0.268 0.537
Pr 0.963 0.963 0.925



Entry 2:
Compound: Pm5PrSb6
Source: Alexandria
Functional: PBE
Structure: relaxed

Computed properties:
As for the total magnetization: 0.00 μB/f.u. The space group is C2/m. The uncorrected energy comes out at -5.63 eV per atom.

Lattice parameters (Å, degrees): 7.802 7.802 7.801 60.00 80.40 70.51
Atoms (fractional coordinates):
Pm 0.500 0.166 0.668
Pm 0.000 0.333 0.334
Pm 0.500 0.500 0.000
Pm 0.500 0.834 0.332
Pm 0.000 0.667 0.666
Pr 0.000 0.000 0.000
Sb 0.252 0.916 0.665
Sb 0.252 0.581 0.335
Sb 0.748 0.084 0.335
Sb 0.748 0.419 0.665
Sb 0.251 0.252 0.000
Sb 0.749 0.748 0.000



Entry 3:
Compound: Pm2PrSb
Source: Alexandria
Functional: PBE
Structure: relaxed

Computed properties:
As for the total magnetization: 0.00 μB/f.u. The space group is Fm-3m. The uncorrected energy comes out at -4.92 eV per atom.

Lattice parameters (Å, degrees): 5.526 5.526 5.526 60.00 60.00 60.00
Atoms (fractional coordinates):
Pm 0.250 0.250 0.250
Pm 0.750 0.750 0.750
Pr 0.000 0.000 0.000
Sb 0.500 0.500 0.500



Entry 4:
Compound: Pm2Pr5Sb5
Source: Alexandria
Functional: PBE
Structure: relaxed

Computed properties:
As for the total magnetization: 0.00 μB/f.u. The space group is C2/m. The uncorrected energy comes out at -5.42 eV per atom.

Lattice parameters (Å, degrees): 4.488 7.704 13.102 107.69 90.00 106.93
Atoms (fractional coordinates):
Pm 0.961 0.922 0.215
Pm 0.039 0.078 0.785
Pr 0.271 0.541 0.653
Pr 0.660 0.320 0.042
Pr 0.340 0.680 0.958
Pr 0.500 0.000 0.500
Pr 0.729 0.459 0.347
Sb 0.000 0.000 0.000
Sb 0.120 0.240 0.429
Sb 0.690 0.379 0.794
Sb 0.310 0.621 0.206
Sb 0.880 0.760 0.571



Entry 5:
Compound: Pm2PrSb
Source: Alexandria
Functional: PBE
Structure: relaxed

Computed properties:
As for the total magnetization: 0.00 μB/f.u. The space group is P4/mmm. The uncorrected energy comes out at -5.15 eV per atom.

Lattice parameters (Å, degrees): 4.893 4.935 4.935 90.00 90.00 90.00
Atoms (fractional coordinates):
Pm 0.000 0.500 0.000
Pm 0.000 0.000 0.500
Pr 0.500 0.500 0.500
Sb 0.500 0.000 0.000



Entry 6:
Compound: PmPrSb
Source: Alexandria
Functional: PBE
Structure: relaxed

Computed properties:
As for the total magnetization: 0.00 μB/f.u. The space group is I4/mmm. The uncorrected energy comes out at -5.41 eV per atom.

Lattice parameters (Å, degrees): 4.592 4.592 9.444 104.07 104.07 90.00
Atoms (fractional coordinates):
Pm 0.000 0.500 0.000
Pm 0.500 0.000 0.000
Sb 0.363 0.363 0.727
Sb 0.637 0.637 0.273
Pr 0.178 0.178 0.357
Pr 0.822 0.822 0.643



Entry 7:
Compound: PmPr4Sb5
Source: Alexandria
Functional: PBE
Structure: relaxed

Computed properties:
As for the total magnetization: 0.00 μB/f.u. The space group is Immm. The uncorrected energy comes out at -5.64 eV per atom.

Lattice parameters (Å, degrees): 4.549 6.423 12.016 105.50 100.91 90.00
Atoms (fractional coordinates):
Sb 0.800 0.300 0.600
Sb 0.200 0.700 0.400
Sb 0.599 0.099 0.197
Sb 0.401 0.901 0.803
Sb 0.000 0.500 0.000
Pr 0.801 0.801 0.601
Pr 0.400 0.400 0.800
Pr 0.199 0.199 0.399
Pr 0.600 0.600 0.200
Pm 0.000 0.000 0.000



Entry 8:
Compound: Pm3Pr5Sb8
Source: Alexandria
Functional: PBE
Structure: relaxed

Computed properties:
As for the total magnetization: 0.00 μB/f.u. The space group is R-3m. The uncorrected energy comes out at -5.64 eV per atom.

Lattice parameters (Å, degrees): 9.068 9.068 9.069 60.01 60.01 60.00
Atoms (fractional coordinates):
Sb 0.249 0.249 0.254
Sb 0.753 0.250 0.747
Sb 0.750 0.247 0.253
Sb 0.750 0.750 0.253
Sb 0.751 0.751 0.746
Sb 0.250 0.753 0.747
Sb 0.247 0.750 0.253
Sb 0.250 0.250 0.747
Pr 0.500 0.500 0.000
Pr 0.000 0.500 0.000
Pr 0.500 0.000 0.000
Pr 0.500 0.500 0.500
Pr 0.000 0.000 0.000
Pm 0.000 0.000 0.500
Pm 0.500 0.000 0.500
Pm 0.000 0.500 0.500



Entry 9:
Compound: Pm3PrSb4
Source: Alexandria
Functional: PBE
Structure: relaxed

Computed properties:
As for the total magnetization: 0.00 μB/f.u. The space group is Pm-3m. The uncorrected energy comes out at -5.63 eV per atom.

Lattice parameters (Å, degrees): 6.373 6.373 6.373 90.00 90.00 90.00
Atoms (fractional coordinates):
Pm 0.500 0.500 0.000
Pm 0.000 0.500 0.500
Pm 0.500 0.000 0.500
Sb 0.000 0.000 0.500
Sb 0.500 0.000 0.000
Sb 0.500 0.500 0.500
Sb 0.000 0.500 0.000
Pr 0.000 0.000 0.000



Entry 10:
Compound: Pm2PrSb
Source: Alexandria
Functional: PBE
Structure: relaxed

Computed properties:
As for the total magnetization: 1.30 μB/f.u. The space group is R-3m. The uncorrected energy comes out at -4.74 eV per atom.

Lattice parameters (Å, degrees): 4.017 4.017 11.144 79.62 79.62 60.00
Atoms (fractional coordinates):
Pm 0.106 0.106 0.682
Pm 0.894 0.894 0.318
Pr 0.000 0.000 0.000
Sb 0.500 0.500 0.500



Entry 11:
Compound: PmPr4Sb5
Source: Alexandria
Functional: PBE
Structure: relaxed

Computed properties:
As for the total magnetization: 0.00 μB/f.u. The space group is I4/mmm. The uncorrected energy comes out at -5.64 eV per atom.

Lattice parameters (Å, degrees): 4.546 4.546 16.379 97.98 97.98 90.00
Atoms (fractional coordinates):
Sb 0.300 0.300 0.600
Sb 0.901 0.901 0.802
Sb 0.099 0.099 0.198
Sb 0.700 0.700 0.400
Sb 0.500 0.500 0.000
Pr 0.600 0.600 0.199
Pr 0.400 0.400 0.801
Pr 0.200 0.200 0.399
Pr 0.800 0.800 0.601
Pm 0.000 0.000 0.000



Entry 12:
Compound: PmPr2ScSb4
Source: Alexandria
Functional: PBE
Structure: relaxed

Computed properties:
As for the total magnetization: 0.00 μB/f.u. The space group is P2/m. The uncorrected energy comes out at -5.74 eV per atom.

Lattice parameters (Å, degrees): 4.457 7.709 7.700 109.53 90.00 90.00
Atoms (fractional coordinates):
Pr 0.500 0.000 0.500
Pr 0.000 0.500 0.500
Sb 0.500 0.234 0.232
Sb 0.000 0.756 0.239
Sb 0.500 0.766 0.768
Sb 0.000 0.244 0.761
Sc 0.000 0.000 0.000
Pm 0.500 0.500 0.000